# BaSiTe3

An optimized crystal structure of BaSiTe3 (PBE-GGA, Alexandria).

Structure (extended XYZ):
```
5
Lattice="5.464 0.000 0.000 0.000 5.464 0.000 0.000 0.000 5.464" Properties=species:S:1:pos:R:3 pbc="T T T"
Ba 0.000 0.000 0.000
Si 2.732 2.732 2.732
Te 0.000 2.732 2.732
Te 2.732 0.000 2.732
Te 2.732 2.732 0.000
```

Properties
Its space group is Pm-3m, No. 221. The value obtained for the magnetic moment is 0.00 Bohr magnetons per cell. The formation energy without anion corrections is -0.52 eV per atom.